Here is an optimized crystal structure of Sm4DyN5 from the Alexandria database. Energies are from PBE.

Properties
The symmetry is I4. The calculation puts the density at 8.6 g/cm³. For the total energy, the calculation gives -8.0314 eV per atom. The calculation puts the total magnetic moment at 0.000 μB per formula unit. Its calculated volume is 16.04 A^3/atom.

Cell: 6.173 6.173 6.173 Å, 99.65 99.65 131.66°
Element x y z (fractional)
Sm 0.100 0.701 0.801
Sm 0.299 0.100 0.400
Sm 0.701 0.900 0.600
Sm 0.900 0.299 0.199
Dy 0.498 0.498 0.000
N 0.016 0.016 0.000
N 0.214 0.412 0.606
N 0.412 0.806 0.197
N 0.608 0.214 0.803
N 0.806 0.608 0.394

Here is an optimized crystal structure of Dy3Y2Ir2 from the Alexandria database. Energies are from PBE.

Properties
The symmetry is C2/m. For the calculated formation energy, the calculation gives -0.628 eV per atom. The calculation puts the density at 9.5 g/cm³. For the total energy, the calculation gives -6.9787 eV per atom. The calculation puts the total magnetic moment at 0.000 μB per formula unit. Its calculated volume is 26.29 A^3/atom.

Cell: 6.308 6.308 8.841 Å, 114.84 114.84 35.65°
Element x y z (fractional)
Dy 0.000 0.000 0.000
Dy 0.119 0.119 0.431
Dy 0.881 0.881 0.569
Y 0.334 0.334 0.193
Y 0.666 0.666 0.807
Ir 0.324 0.324 0.763
Ir 0.676 0.676 0.237

Here is an optimized crystal structure of YCoCu3 from the Alexandria database. Energies are from PBE.

Properties
The symmetry is Pm-3m. The value obtained for the energy above the lowest structure with this stoichiometry is 0.0 meV per atom. For the calculated formation energy, the calculation gives 0.323 eV per atom. The calculation puts the density at 6.4 g/cm³. For the total energy, the calculation gives -4.8487 eV per atom. The calculation puts the total magnetic moment at 0.747 μB per formula unit. Its calculated volume is 17.62 A^3/atom.

Cell: 4.450 4.450 4.450 Å, 90.00 90.00 90.00°
Element x y z (fractional)
Y 0.000 0.000 0.000
Co 0.500 0.500 0.500
Cu 0.000 0.500 0.500
Cu 0.500 0.000 0.500
Cu 0.500 0.500 0.000

Here is an optimized crystal structure of SmPu2PaBi4 from the Alexandria database. Energies are from PBE.

Properties
The symmetry is P2/m. For the calculated formation energy, the calculation gives -0.425 eV per atom. The calculation puts the density at 10.8 g/cm³. For the total energy, the calculation gives -7.7254 eV per atom. The calculation puts the total magnetic moment at 0.067 μB per formula unit. Its calculated volume is 32.83 A^3/atom.

Cell: 7.817 4.529 7.869 Å, 90.00 109.45 90.00°
Element x y z (fractional)
Sm 0.000 0.000 0.000
Pu 0.500 0.000 0.500
Pu 0.500 0.500 0.000
Pa 0.000 0.500 0.500
Bi 0.245 0.000 0.745
Bi 0.248 0.500 0.254
Bi 0.752 0.500 0.746
Bi 0.755 0.000 0.255

Among the records above, which one has the lowest calculated volume?
Sm4DyN5